(1)
Computed, not measured: a geometry-optimized NdSmB4Os4 structure at the PBE level of DFT.

Unit cell a=6.761 b=6.004 c=5.632 alpha=70.97 beta=57.08 gamma=51.95
Positions (direct):
Nd 0.000 0.000 0.000
Sm 0.750 0.750 0.750
B 0.063 0.437 0.063
B 0.314 0.686 0.314
B 0.437 0.063 0.437
B 0.686 0.314 0.686
Os 0.113 0.113 0.387
Os 0.363 0.363 0.637
Os 0.387 0.387 0.113
Os 0.637 0.637 0.363

Calculated values
Total DFT energy (no corrections) (hartree per atom): -0.3143

***

(2)
Computed, not measured: a geometry-optimized AgI2 structure at the PBE level of DFT.

Unit cell a=4.153 b=7.116 c=13.830 alpha=90.00 beta=90.00 gamma=90.00
Positions (direct):
Ag 0.000 0.031 0.000
Ag 0.000 0.467 0.495
Ag 0.500 0.533 0.995
Ag 0.500 0.969 0.500
I 0.000 0.155 0.623
I 0.000 0.351 0.122
I 0.000 0.719 0.872
I 0.000 0.787 0.373
I 0.500 0.213 0.873
I 0.500 0.281 0.372
I 0.500 0.649 0.622
I 0.500 0.845 0.123

Calculated values
Total DFT energy (no corrections) (hartree per atom): -0.0742

***

(3)
Computed, not measured: a geometry-optimized Sr3SmN3 structure at the PBE level of DFT.

Unit cell a=8.055 b=8.055 c=5.378 alpha=90.00 beta=90.00 gamma=120.00
Positions (direct):
Sr 0.059 0.328 0.250
Sr 0.269 0.941 0.250
Sr 0.328 0.269 0.750
Sr 0.672 0.731 0.250
Sr 0.731 0.059 0.750
Sr 0.941 0.672 0.750
Sm 0.333 0.667 0.750
Sm 0.667 0.333 0.250
N 0.063 0.369 0.750
N 0.306 0.937 0.750
N 0.369 0.306 0.250
N 0.631 0.694 0.750
N 0.694 0.063 0.250
N 0.937 0.631 0.250

Calculated values
Total DFT energy (no corrections) (hartree per atom): -0.2019

***

Q: Which value of total DFT energy (no corrections) does entry 1 give?
A: -0.3143 hartree per atom